(1)
A relaxed La2B2Te crystal, computed with PBE.

CIF file:
```
data_La2B2Te
_chemical_formula_sum 'La4 B4 Te2'
_cell_length_a 8.2895
_cell_length_b 8.2895
_cell_length_c 3.9868
_cell_angle_alpha 90.00
_cell_angle_beta 90.00
_cell_angle_gamma 90.00
_space_group_name_H-M_alt 'P 4/m b m'
_space_group_IT_number 127
_space_group_name_Hall '-P 4 2ab'
loop_
_atom_site_label
_atom_site_type_symbol
_atom_site_fract_x
_atom_site_fract_y
_atom_site_fract_z
La1 La 0.1673 0.3327 0.0000
B1 B 0.0661 0.5661 0.5000
Te1 Te 0.0000 0.0000 0.0000
```

Properties
DOS at the Fermi energy = 0.547 states/eV per atom
formation energy (no corrections) = -165 meV per atom
electronic total energy = -5.44 eV per atom

---

(2)
A relaxed La2B2Te crystal, computed with PBE.

CIF file:
```
data_La2B2Te
_chemical_formula_sum 'La4 B4 Te2'
_cell_length_a 3.9610
_cell_length_b 3.9610
_cell_length_c 15.1808
_cell_angle_alpha 90.00
_cell_angle_beta 90.00
_cell_angle_gamma 90.00
_space_group_name_H-M_alt 'I 4/m m m'
_space_group_IT_number 139
_space_group_name_Hall '-I 4 2'
loop_
_atom_site_label
_atom_site_type_symbol
_atom_site_fract_x
_atom_site_fract_y
_atom_site_fract_z
La1 La 0.0000 0.0000 0.1357
B1 B 0.0000 0.5000 0.2500
Te1 Te 0.0000 0.0000 0.5000
```

Properties
DOS at the Fermi energy = 0.780 states/eV per atom
formation energy (no corrections) = 15 meV per atom
electronic total energy = -5.26 eV per atom

---

(3)
A relaxed LaB3Te crystal, computed with PBE.

CIF file:
```
data_LaB3Te
_chemical_formula_sum 'La1 B3 Te1'
_cell_length_a 4.9264
_cell_length_b 4.9264
_cell_length_c 4.9264
_cell_angle_alpha 90.00
_cell_angle_beta 90.00
_cell_angle_gamma 90.00
_space_group_name_H-M_alt 'P m -3 m'
_space_group_IT_number 221
_space_group_name_Hall '-P 4 2 3'
loop_
_atom_site_label
_atom_site_type_symbol
_atom_site_fract_x
_atom_site_fract_y
_atom_site_fract_z
La1 La 0.0000 0.0000 0.0000
B1 B 0.0000 0.0000 0.5000
Te1 Te 0.5000 0.5000 0.5000
```

Properties
DOS at the Fermi energy = 0.846 states/eV per atom
formation energy (no corrections) = 2220 meV per atom
electronic total energy = -3.40 eV per atom

---

(4)
A relaxed LaBTe3 crystal, computed with PBE.

CIF file:
```
data_LaBTe3
_chemical_formula_sum 'La1 B1 Te3'
_cell_length_a 6.1636
_cell_length_b 6.1636
_cell_length_c 6.1636
_cell_angle_alpha 90.00
_cell_angle_beta 90.00
_cell_angle_gamma 90.00
_space_group_name_H-M_alt 'P m -3 m'
_space_group_IT_number 221
_space_group_name_Hall '-P 4 2 3'
loop_
_atom_site_label
_atom_site_type_symbol
_atom_site_fract_x
_atom_site_fract_y
_atom_site_fract_z
La1 La 0.0000 0.0000 0.0000
B1 B 0.5000 0.5000 0.5000
Te1 Te 0.0000 0.0000 0.5000
```

Properties
DOS at the Fermi energy = 1.513 states/eV per atom
formation energy (no corrections) = 818 meV per atom
electronic total energy = -3.39 eV per atom

---

(5)
A relaxed La3BTe crystal, computed with PBE.

CIF file:
```
data_La3BTe
_chemical_formula_sum 'La3 B1 Te1'
_cell_length_a 5.2853
_cell_length_b 5.2853
_cell_length_c 5.2853
_cell_angle_alpha 90.00
_cell_angle_beta 90.00
_cell_angle_gamma 90.00
_space_group_name_H-M_alt 'P m -3 m'
_space_group_IT_number 221
_space_group_name_Hall '-P 4 2 3'
loop_
_atom_site_label
_atom_site_type_symbol
_atom_site_fract_x
_atom_site_fract_y
_atom_site_fract_z
La1 La 0.0000 0.0000 0.5000
B1 B 0.0000 0.0000 0.0000
Te1 Te 0.5000 0.5000 0.5000
```

Properties
DOS at the Fermi energy = 1.091 states/eV per atom
formation energy (no corrections) = -463 meV per atom
electronic total energy = -5.38 eV per atom

---

(6)
A relaxed La2BTe crystal, computed with PBE.

CIF file:
```
data_La2BTe
_chemical_formula_sum 'La8 B4 Te4'
_cell_length_a 7.7144
_cell_length_b 7.7144
_cell_length_c 7.8552
_cell_angle_alpha 90.00
_cell_angle_beta 90.00
_cell_angle_gamma 90.00
_space_group_name_H-M_alt 'I -4 2 d'
_space_group_IT_number 122
_space_group_name_Hall 'I -4 2bw'
loop_
_atom_site_label
_atom_site_type_symbol
_atom_site_fract_x
_atom_site_fract_y
_atom_site_fract_z
La1 La 0.1818 0.2500 0.1250
B1 B 0.0000 0.0000 0.0000
Te1 Te 0.0000 0.0000 0.5000
```

Properties
DOS at the Fermi energy = 1.076 states/eV per atom
formation energy (no corrections) = -484 meV per atom
electronic total energy = -5.40 eV per atom

---

(7)
A relaxed La2TlBTe crystal, computed with PBE.

CIF file:
```
data_La2TlBTe
_chemical_formula_sum 'La2 Tl1 B1 Te1'
_cell_length_a 5.5887
_cell_length_b 5.5887
_cell_length_c 4.3496
_cell_angle_alpha 90.00
_cell_angle_beta 90.00
_cell_angle_gamma 90.00
_space_group_name_H-M_alt 'P 4/m m m'
_space_group_IT_number 123
_space_group_name_Hall '-P 4 2'
loop_
_atom_site_label
_atom_site_type_symbol
_atom_site_fract_x
_atom_site_fract_y
_atom_site_fract_z
La1 La 0.0000 0.5000 0.0000
Tl1 Tl 0.0000 0.0000 0.5000
B1 B 0.0000 0.0000 0.0000
Te1 Te 0.5000 0.5000 0.5000
```

Properties
DOS at the Fermi energy = 0.470 states/eV per atom
formation energy (no corrections) = -423 meV per atom
electronic total energy = -4.83 eV per atom

---

(8)
A relaxed LaThB6 crystal, computed with PBE.

CIF file:
```
data_LaThB6
_chemical_formula_sum 'La2 Th2 B12'
_cell_length_a 9.7427
_cell_length_b 4.7387
_cell_length_c 4.1845
_cell_angle_alpha 90.00
_cell_angle_beta 92.44
_cell_angle_gamma 90.00
_space_group_name_H-M_alt 'C 1 2/m 1'
_space_group_IT_number 12
_space_group_name_Hall '-C 2y'
loop_
_atom_site_label
_atom_site_type_symbol
_atom_site_fract_x
_atom_site_fract_y
_atom_site_fract_z
La1 La 0.0000 0.0000 0.0000
Th1 Th 0.0000 0.5000 0.5000
B1 B 0.1884 0.5000 0.9764
B2 B 0.2353 0.2073 0.7011
```

Properties
calculated formation energy = 0.0151 eV per atom
DOS at the Fermi energy = 0.342 states/eV per atom
electronic total energy = -6.54 eV per atom

---

(9)
A relaxed LaThB crystal, computed with PBE.

CIF file:
```
data_LaThB
_chemical_formula_sum 'La4 Th4 B4'
_cell_length_a 3.3463
_cell_length_b 24.4670
_cell_length_c 3.6793
_cell_angle_alpha 90.00
_cell_angle_beta 90.00
_cell_angle_gamma 90.00
_space_group_name_H-M_alt 'A m a 2'
_space_group_IT_number 40
_space_group_name_Hall 'A 2 -2a'
loop_
_atom_site_label
_atom_site_type_symbol
_atom_site_fract_x
_atom_site_fract_y
_atom_site_fract_z
La1 La 0.2500 0.1962 0.0000
Th1 Th 0.2500 0.4329 0.9971
B1 B 0.2500 0.0141 0.9970
```

Properties
calculated formation energy = -0.1656 eV per atom
DOS at the Fermi energy = 1.011 states/eV per atom
electronic total energy = -6.51 eV per atom

---

(10)
A relaxed La2Ti2B crystal, computed with PBE.

CIF file:
```
data_La2Ti2B
_chemical_formula_sum 'La4 Ti4 B2'
_cell_length_a 3.9266
_cell_length_b 3.9266
_cell_length_c 14.7416
_cell_angle_alpha 90.00
_cell_angle_beta 90.00
_cell_angle_gamma 90.00
_space_group_name_H-M_alt 'I 4/m m m'
_space_group_IT_number 139
_space_group_name_Hall '-I 4 2'
loop_
_atom_site_label
_atom_site_type_symbol
_atom_site_fract_x
_atom_site_fract_y
_atom_site_fract_z
La1 La 0.0000 0.5000 0.2500
Ti1 Ti 0.0000 0.0000 0.0672
B1 B 0.0000 0.0000 0.5000
```

Properties
calculated formation energy = 1.3166 eV per atom
DOS at the Fermi energy = 1.306 states/eV per atom
electronic total energy = -5.15 eV per atom

---

(11)
A relaxed LaTiB2 crystal, computed with PBE.

CIF file:
```
data_LaTiB2
_chemical_formula_sum 'La4 Ti4 B8'
_cell_length_a 6.2665
_cell_length_b 6.2665
_cell_length_c 6.2665
_cell_angle_alpha 90.00
_cell_angle_beta 90.00
_cell_angle_gamma 90.00
_space_group_name_H-M_alt 'F m -3 m'
_space_group_IT_number 225
_space_group_name_Hall '-F 4 2 3'
loop_
_atom_site_label
_atom_site_type_symbol
_atom_site_fract_x
_atom_site_fract_y
_atom_site_fract_z
La1 La 0.0000 0.0000 0.0000
Ti1 Ti 0.0000 0.0000 0.5000
B1 B 0.2500 0.2500 0.2500
```

Properties
calculated formation energy = 0.5098 eV per atom
DOS at the Fermi energy = 1.159 states/eV per atom
electronic total energy = -6.03 eV per atom

---

(12)
A relaxed La3TiB crystal, computed with PBE.

CIF file:
```
data_La3TiB
_chemical_formula_sum 'La3 Ti1 B1'
_cell_length_a 5.2988
_cell_length_b 5.2988
_cell_length_c 5.2988
_cell_angle_alpha 90.00
_cell_angle_beta 90.00
_cell_angle_gamma 90.00
_space_group_name_H-M_alt 'P m -3 m'
_space_group_IT_number 221
_space_group_name_Hall '-P 4 2 3'
loop_
_atom_site_label
_atom_site_type_symbol
_atom_site_fract_x
_atom_site_fract_y
_atom_site_fract_z
La1 La 0.0000 0.0000 0.5000
Ti1 Ti 0.5000 0.5000 0.5000
B1 B 0.0000 0.0000 0.0000
```

Properties
calculated formation energy = 0.4556 eV per atom
DOS at the Fermi energy = 1.825 states/eV per atom
electronic total energy = -5.42 eV per atom